TlSb2Se | GGA-PBE | optimized geometry

a = 4.6797 Å, b = 4.6797 Å, c = 11.5888 Å
α = 78.35°, β = 78.35°, γ = 90.00°
Fractional coordinates of all 8 atoms:
Se  0.5000  0.5000  0.0000
Se  0.2500  0.7500  0.5000
Tl  0.0000  0.0000  0.0000
Tl  0.7500  0.2500  0.5000
Sb  0.5645  0.1250  0.2500
Sb  0.3750  0.4355  0.7500
Sb  0.1855  0.6250  0.2500
Sb  0.8750  0.8145  0.7500

Properties
M_tot: 0.00 μB/cell
Distance to the lowest polymorph of the same formula: 115 meV/atom
Crystal system: tetragonal
E: -28.13 eV/cell

---

SnHgH2F8 | GGA-PBE | optimized geometry

a = 4.9586 Å, b = 5.1731 Å, c = 7.0530 Å
α = 100.29°, β = 88.88°, γ = 75.56°
Site moments in Bohr magnetons follow the coordinates.
Fractional coordinates of all 12 atoms:
F  0.7446  0.7712  0.9990  0.06
F  0.6787  0.7069  0.4453  0.00
F  0.2554  0.2288  0.0010  0.06
F  0.7976  0.1863  0.7878  0.00
F  0.3213  0.2931  0.5547  0.00
F  0.2024  0.8137  0.2122  0.00
F  0.7810  0.2634  0.2400  0.00
F  0.2190  0.7366  0.7600  0.00
H  0.7182  0.5397  0.3433  0.00
H  0.2818  0.4603  0.6567  0.00
Sn  0.0000  0.0000  0.0000  0.00
Hg  0.0000  0.0000  0.5000  0.00

Properties
M_tot: 0.13 μB/cell
Crystal system: triclinic
E: -48.38 eV/cell

---

KTiP2O | GGA-PBE | optimized geometry

a = 5.2191 Å, b = 5.2191 Å, c = 3.7032 Å
α = 90.00°, β = 90.00°, γ = 90.00°
Fractional coordinates of all 5 atoms:
Ti  0.0000  0.0000  0.0000
O  0.0000  0.0000  0.5000
P  0.0000  0.5000  0.0000
P  0.5000  0.0000  0.0000
K  0.5000  0.5000  0.5000

Properties
M_tot: 0.00 μB/cell
Distance to the lowest polymorph of the same formula: 0 meV/atom
Crystal system: tetragonal
E: -27.86 eV/cell

---

KNaTl | GGA-PBE | optimized geometry

a = 5.7727 Å, b = 5.7727 Å, c = 5.7727 Å
α = 60.00°, β = 60.00°, γ = 60.00°
Fractional coordinates of all 3 atoms:
Tl  0.2500  0.2500  0.2500
K  0.0000  0.0000  0.0000
Na  0.5000  0.5000  0.5000

Properties
M_tot: 0.00 μB/cell
Distance to the lowest polymorph of the same formula: 170 meV/atom
Energy of formation: 0.25 eV per formula unit
Crystal system: cubic
E: -4.53 eV/cell

---

Copy entry 1 word for word.
TlSb2Se | GGA-PBE | optimized geometry

a = 4.6797 Å, b = 4.6797 Å, c = 11.5888 Å
α = 78.35°, β = 78.35°, γ = 90.00°
Fractional coordinates of all 8 atoms:
Se  0.5000  0.5000  0.0000
Se  0.2500  0.7500  0.5000
Tl  0.0000  0.0000  0.0000
Tl  0.7500  0.2500  0.5000
Sb  0.5645  0.1250  0.2500
Sb  0.3750  0.4355  0.7500
Sb  0.1855  0.6250  0.2500
Sb  0.8750  0.8145  0.7500

Properties
M_tot: 0.00 μB/cell
Distance to the lowest polymorph of the same formula: 115 meV/atom
Crystal system: tetragonal
E: -28.13 eV/cell

---

Q: Which of these has the highest M_tot?
A: SnHgH2F8